[1]
A geometry-optimized SrMo2Ir structure. Source: the Alexandria database, functional PBE.

Calculated values
Energy above the most stable polymorph in this dataset   502.4 meV per atom
Calculated formation energy   0.893 eV/atom

Cell: 3.9599 3.9599 9.6424 Å, 90.00 90.00 90.00°
Space group I4/mmm (No. 139)
Asymmetric unit:
1 Sr 0.0000 0.0000 0.0000 x2
2 Mo 0.0000 0.5000 0.2500 x4
3 Ir 0.0000 0.0000 0.5000 x2



[2]
A geometry-optimized Sr2MoIr structure. Source: the Alexandria database, functional PBE.

Calculated values
Energy above the most stable polymorph in this dataset   598.9 meV per atom
Calculated formation energy   0.883 eV/atom

Cell: 3.1956 4.9605 5.7836 Å, 90.00 95.00 90.00°
Space group P2/m (No. 10)
Asymmetric unit:
1 Sr 0.0373 0.0000 0.2559 x2
2 Mo 0.5000 0.5000 0.0000 x1
3 Ir 0.5000 0.5000 0.5000 x1



[3]
A geometry-optimized Sr2MoIr structure. Source: the Alexandria database, functional PBE.

Calculated values
Energy above the most stable polymorph in this dataset   550.0 meV per atom
Calculated formation energy   0.834 eV/atom

Cell: 4.7680 4.7680 4.3852 Å, 90.00 90.00 90.00°
Space group P4/mmm (No. 123)
Asymmetric unit:
1 Sr 0.0000 0.5000 0.0000 x2
2 Mo 0.0000 0.0000 0.5000 x1
3 Ir 0.5000 0.5000 0.5000 x1



[4]
A geometry-optimized SrMo4Ir structure. Source: the Alexandria database, functional PBE.

Calculated values
Calculated formation energy   0.616 eV/atom

Cell: 7.5977 7.5977 7.5977 Å, 90.00 90.00 90.00°
Space group F-43m (No. 216)
Asymmetric unit:
1 Sr 0.0000 0.0000 0.0000 x4
2 Mo 0.1259 0.1259 0.3741 x16
3 Ir 0.2500 0.2500 0.7500 x4



[5]
A geometry-optimized SrMo2Ir structure. Source: the Alexandria database, functional PBE.

Calculated values
Energy above the most stable polymorph in this dataset   394.2 meV per atom
Calculated formation energy   0.785 eV/atom

Cell: 2.8806 2.8806 30.8860 Å, 90.00 90.00 120.00°
Space group R-3m (No. 166, hexagonal axes)
Asymmetric unit:
1 Sr 0.0000 0.0000 0.0000 x3
2 Mo 0.0000 0.0000 0.2375 x6
3 Ir 0.0000 0.0000 0.5000 x3



[6]
A geometry-optimized SrMo2Ir structure. Source: the Alexandria database, functional PBE.

Calculated values
Energy above the most stable polymorph in this dataset   51.2 meV per atom
Calculated formation energy   0.442 eV/atom

Cell: 10.3625 3.1391 5.3950 Å, 90.00 103.01 90.00°
Space group C2/m (No. 12)
Asymmetric unit:
1 Sr 0.0000 0.0000 0.0000 x2
2 Mo 0.2152 0.0000 0.6421 x4
3 Ir 0.0000 0.5000 0.5000 x2



[7]
A geometry-optimized SrMo2Ir structure. Source: the Alexandria database, functional PBE.

Calculated values
Energy above the most stable polymorph in this dataset   396.5 meV per atom
Calculated formation energy   0.787 eV/atom

Cell: 3.1504 4.6762 5.0150 Å, 90.00 90.00 90.00°
Space group Pmmm (No. 47)
Asymmetric unit:
1 Sr 0.0000 0.0000 0.0000 x1
2 Mo 0.0000 0.5000 0.5000 x1
3 Mo 0.5000 0.0000 0.5000 x1
4 Ir 0.5000 0.5000 0.0000 x1



[8]
A geometry-optimized Sr4MoIr structure. Source: the Alexandria database, functional PBE.

Calculated values
Calculated formation energy   1.444 eV/atom

Cell: 9.1674 9.1674 9.1674 Å, 90.00 90.00 90.00°
Space group F-43m (No. 216)
Asymmetric unit:
1 Sr 0.1241 0.1241 0.1241 x16
2 Mo 0.0000 0.0000 0.5000 x4
3 Ir 0.2500 0.2500 0.7500 x4



[9]
A geometry-optimized SrMo2Ir structure. Source: the Alexandria database, functional PBE.

Calculated values
Energy above the most stable polymorph in this dataset   637.5 meV per atom
Calculated formation energy   1.028 eV/atom

Cell: 4.9526 4.9526 2.9267 Å, 90.00 90.00 90.00°
Space group P4/mmm (No. 123)
Asymmetric unit:
1 Sr 0.0000 0.0000 0.0000 x1
2 Mo 0.0000 0.5000 0.5000 x2
3 Ir 0.5000 0.5000 0.0000 x1



[10]
A geometry-optimized Sr2MoIr structure. Source: the Alexandria database, functional PBE.

Calculated values
Energy above the most stable polymorph in this dataset   602.6 meV per atom
Calculated formation energy   0.887 eV/atom

Cell: 5.7692 9.8964 3.1888 Å, 90.00 90.24 90.00°
Space group C2/m (No. 12)
Asymmetric unit:
1 Sr 0.2500 0.2500 0.0000 x4
2 Mo 0.0000 0.0000 0.5000 x2
3 Ir 0.0000 0.5000 0.5000 x2



[11]
A geometry-optimized SrMoIr2 structure. Source: the Alexandria database, functional PBE.

Calculated values
Energy above the most stable polymorph in this dataset   425.3 meV per atom
Calculated formation energy   0.450 eV/atom

Cell: 3.3342 3.3342 7.3370 Å, 90.00 90.00 90.00°
Space group P4mm (No. 99)
Asymmetric unit:
1 Sr 0.0000 0.0000 0.0000 x1
2 Mo 0.5000 0.5000 0.6396 x1
3 Ir 0.0000 0.0000 0.5005 x1
4 Ir 0.5000 0.5000 0.2847 x1



[12]
A geometry-optimized SrMoIr2 structure. Source: the Alexandria database, functional PBE.

Calculated values
Energy above the most stable polymorph in this dataset   285.0 meV per atom
Calculated formation energy   0.310 eV/atom

Cell: 3.0158 4.5546 5.9192 Å, 90.00 98.90 90.00°
Space group Pm (No. 6)
Asymmetric unit:
1 Sr 0.0000 0.0000 0.0000 x1
2 Mo 0.1867 0.5000 0.5721 x1
3 Ir 0.5690 0.0000 0.5101 x1
4 Ir 0.5757 0.5000 0.2269 x1